w) Here is CaY4 after structural relaxation from the Alexandria database. Energies are from PBE.

The space group is I4/m (No. 87) and the conventional cell measures 8.072, 8.072 and 5.164 Å, with angles of 90.00, 90.00 and 90.00 degrees. The distinct sites, in fractional coordinates, are Ca at (0.000, 0.000, 0.000) and Y at (0.097, 0.693, 0.500).

=====

x) Here is CaY4 after structural relaxation from the Alexandria database. Energies are from PBE.

The space group is Pm-3m (No. 221) and the conventional cell measures 5.632, 5.632 and 5.632 Å, with angles of 90.00, 90.00 and 90.00 degrees. The distinct sites, in fractional coordinates, are Ca at (0.000, 0.000, 0.000), Y at (0.000, 0.000, 0.500) and Y at (0.500, 0.500, 0.500).

=====

Which structure loses on stability? x) does.

=====

w) Here is CaYZn3 after structural relaxation from the Alexandria database. Energies are from PBE.

The space group is Pm-3m (No. 221) and the conventional cell measures 5.146, 5.146 and 5.146 Å, with angles of 90.00, 90.00 and 90.00 degrees. The distinct sites, in fractional coordinates, are Ca at (0.000, 0.000, 0.000), Y at (0.500, 0.500, 0.500) and Zn at (0.000, 0.000, 0.500).

=====

x) Here is CaYZn3 after structural relaxation from the Alexandria database. Energies are from PBE.

The space group is Pm-3m (No. 221) and the conventional cell measures 5.408, 5.408 and 5.408 Å, with angles of 90.00, 90.00 and 90.00 degrees. The distinct sites, in fractional coordinates, are Ca at (0.000, 0.000, 0.000), Y at (0.500, 0.500, 0.500) and Zn at (0.000, 0.500, 0.500).

=====

y) Here is CaYZn3 after structural relaxation from the Alexandria database. Energies are from PBE.

The space group is Cmcm (No. 63) and the conventional cell measures 3.693, 27.727 and 4.419 Å, with angles of 90.00, 90.00 and 90.00 degrees. The distinct sites, in fractional coordinates, are Ca at (0.000, 0.206, 0.250), Y at (0.000, 0.069, 0.750), Zn at (0.000, 0.335, 0.250), Zn at (0.000, 0.386, 0.750) and Zn at (0.000, 0.477, 0.750).

=====

Which structure loses on stability? w) does.

=====

w) Here is CaYZn after structural relaxation from the Alexandria database. Energies are from PBE.

The space group is I4mm (No. 107) and the conventional cell measures 3.635, 3.635 and 12.855 Å, with angles of 90.00, 90.00 and 90.00 degrees. The distinct sites, in fractional coordinates, are Ca at (0.000, 0.000, 0.000), Y at (0.000, 0.000, 0.725) and Zn at (0.000, 0.000, 0.350).

=====

x) Here is CaYZn after structural relaxation from the Alexandria database. Energies are from PBE.

The space group is F-43m (No. 216) and the conventional cell measures 7.140, 7.140 and 7.140 Å, with angles of 90.00, 90.00 and 90.00 degrees. The distinct sites, in fractional coordinates, are Ca at (0.000, 0.000, 0.000), Y at (0.000, 0.000, 0.500) and Zn at (0.250, 0.250, 0.750).

=====

y) Here is CaYZn after structural relaxation from the Alexandria database. Energies are from PBE.

The space group is P3m1 (No. 156) and the conventional cell measures 3.7099, 3.7099 and 7.5661 Å, with angles of 90.00, 90.00 and 120.00 degrees. The distinct sites, in fractional coordinates, are Ca at (0.0000, 0.0000, 0.0000), Y at (0.6667, 0.3333, 0.4221) and Zn at (0.3333, 0.6667, 0.7015).

=====

Which structure loses on stability? x) does.